Entry 1:
The following is a PBE calculation of a relaxed LiAlGaPd crystal, from the Open Quantum Materials Database.

Cell lengths 4.3269, 4.3269, 4.3269 Å; angles 60.00, 60.00, 60.00 degrees
Atoms (fractional coordinates):
Li1 0.0000 0.0000 0.0000
Al1 0.7500 0.7500 0.7500
Ga1 0.2500 0.2500 0.2500
Pd1 0.5000 0.5000 0.5000

Calculated values
* ΔE to the lowest computed polymorph: 0 meV/atom
* space group: F-43m

Entry 2:
The following is a PBE calculation of a relaxed AuICl6 crystal, from the Open Quantum Materials Database.

Cell lengths 6.9461, 6.9461, 6.9461 Å; angles 60.00, 60.00, 60.00 degrees
Atoms (fractional coordinates):
Au1 0.0000 0.0000 0.0000
I1 0.2500 0.2500 0.2500
Cl1 0.5024 0.5024 0.9976
Cl2 0.5024 0.9976 0.5024
Cl3 0.5024 0.9976 0.9976
Cl4 0.9976 0.5024 0.5024
Cl5 0.9976 0.5024 0.9976
Cl6 0.9976 0.9976 0.5024

Calculated values
* space group: F-43m

Entry 3:
The following is a PBE calculation of a relaxed Tb3Al crystal, from the Open Quantum Materials Database.

Cell lengths 6.8640, 6.8640, 5.3175 Å; angles 90.00, 90.00, 120.00 degrees
Atoms (fractional coordinates):
Tb1 0.1754 0.3509 0.2500
Tb2 0.1754 0.8246 0.2500
Tb3 0.3509 0.1754 0.7500
Tb4 0.6491 0.8246 0.2500
Tb5 0.8246 0.1754 0.7500
Tb6 0.8246 0.6491 0.7500
Al1 0.3333 0.6667 0.7500
Al2 0.6667 0.3333 0.2500

Calculated values
* space group: P6_3/mmc
* magnetic moment: 0.02 μB/cell

Entry 4:
The following is a PBE calculation of a relaxed LiNiBPt crystal, from the Open Quantum Materials Database.

Cell lengths 3.8443, 3.8443, 3.8443 Å; angles 60.00, 60.00, 60.00 degrees
Atoms (fractional coordinates):
Li1 0.0000 0.0000 0.0000
Ni1 0.7500 0.7500 0.7500
B1 0.5000 0.5000 0.5000
Pt1 0.2500 0.2500 0.2500

Calculated values
* ΔE to the lowest computed polymorph: 0 meV/atom
* space group: F-43m
* magnetic moment: 0.00 μB/cell

Entry 5:
The following is a PBE calculation of a relaxed LaZrIr crystal, from the Open Quantum Materials Database.

Cell lengths 4.7177, 4.7177, 6.7620 Å; angles 90.00, 90.00, 90.00 degrees
Atoms (fractional coordinates):
La1 0.2500 0.2500 0.1242
La2 0.7500 0.7500 0.8758
Zr1 0.2500 0.7500 0.5000
Zr2 0.7500 0.2500 0.5000
Ir1 0.2500 0.2500 0.6995
Ir2 0.7500 0.7500 0.3005

Calculated values
* space group: P4/nmm
* magnetic moment: 0.03 μB/cell
* energy relative to the elements: -0.67 eV/atom

Entry 6:
The following is a PBE calculation of a relaxed Pr3Mg2AlPt2Au crystal, from the Open Quantum Materials Database.

Cell lengths 4.1756, 7.6184, 7.6184 Å; angles 120.89, 90.00, 90.00 degrees
Atoms (fractional coordinates):
Pr1 0.0000 0.0000 0.0000
Pr2 0.0000 0.4315 0.8430
Pr3 0.0000 0.8430 0.4315
Mg1 0.5000 0.1832 0.4279
Mg2 0.5000 0.4279 0.1832
Al1 0.5000 0.6697 0.6697
Pt1 0.5000 0.0837 0.7593
Pt2 0.5000 0.7593 0.0837
Au1 0.0000 0.4341 0.4341

Calculated values
* space group: Amm2
* magnetic moment: 0.01 μB/cell

Entry 7:
The following is a PBE calculation of a relaxed Pr2SiNiI2 crystal, from the Open Quantum Materials Database.

Cell lengths 4.2239, 4.2239, 12.1398 Å; angles 90.00, 90.00, 120.00 degrees
Atoms (fractional coordinates):
Pr1 0.0000 0.0000 0.0000
Pr2 0.0000 0.0000 0.3091
Si1 0.6667 0.3333 0.1577
Ni1 0.3333 0.6667 0.1500
I1 0.3333 0.6667 0.4875
I2 0.6667 0.3333 0.8190

Calculated values
* space group: P3m1
* magnetic moment: 0.00 μB/cell

Entry 8:
The following is a PBE calculation of a relaxed NdTcNi crystal, from the Open Quantum Materials Database.

Cell lengths 4.4528, 4.4528, 4.4528 Å; angles 60.00, 60.00, 60.00 degrees
Atoms (fractional coordinates):
Nd1 0.0000 0.0000 0.0000
Tc1 0.5000 0.5000 0.5000
Ni1 0.2500 0.2500 0.2500

Calculated values
* space group: F-43m
* magnetic moment: 2.20 μB/cell
* energy relative to the elements: 0.50 eV/atom

Entry 9:
The following is a PBE calculation of a relaxed FeMo2C4 crystal, from the Open Quantum Materials Database.

Cell lengths 5.8853, 5.8853, 5.8853 Å; angles 101.34, 96.13, 134.15 degrees
Atoms (fractional coordinates):
Fe1 0.2500 0.2500 0.0000
Fe2 0.7500 0.7500 0.0000
Mo1 0.1150 0.6914 0.8064
Mo2 0.3850 0.1914 0.5764
Mo3 0.6150 0.8086 0.4236
Mo4 0.8850 0.3086 0.1936
C1 0.1517 0.3721 0.5238
C2 0.1924 0.9720 0.1645
C3 0.3076 0.4720 0.7796
C4 0.3483 0.8721 0.2204
C5 0.6517 0.1279 0.7796
C6 0.6924 0.5280 0.2204
C7 0.8076 0.0280 0.8355
C8 0.8483 0.6279 0.4762

Calculated values
* space group: Ibam
* magnetic moment: 0.87 μB/cell

Entry 10:
The following is a PBE calculation of a relaxed TlFeReOs crystal, from the Open Quantum Materials Database.

Cell lengths 4.4650, 4.4650, 4.4650 Å; angles 60.00, 60.00, 60.00 degrees
Atoms (fractional coordinates):
Tl1 0.0000 0.0000 0.0000
Fe1 0.2500 0.2500 0.2500
Re1 0.5000 0.5000 0.5000
Os1 0.7500 0.7500 0.7500

Calculated values
* ΔE to the lowest computed polymorph: 0 meV/atom
* space group: F-43m
* magnetic moment: 2.93 μB/cell

Entry 11:
The following is a PBE calculation of a relaxed FeCuI2Br2 crystal, from the Open Quantum Materials Database.

Cell lengths 7.0706, 7.0706, 6.1173 Å; angles 115.59, 115.59, 102.82 degrees
Atoms (fractional coordinates):
Fe1 0.0000 0.0000 0.0000
Cu1 0.2396 0.7604 0.5000
I1 0.1145 0.3753 0.4781
I2 0.6247 0.8855 0.5219
Br1 0.3268 0.0887 0.9656
Br2 0.9113 0.6732 0.0344

Calculated values
* ΔE to the lowest computed polymorph: 0 meV/atom
* space group: C2
* magnetic moment: 4.99 μB/cell

Entry 12:
The following is a PBE calculation of a relaxed LaPr2Sn3Ir2Pd crystal, from the Open Quantum Materials Database.

Cell lengths 4.2096, 7.5752, 7.5752 Å; angles 119.78, 90.00, 90.00 degrees
Atoms (fractional coordinates):
La1 0.0000 0.0000 0.0000
Pr1 0.0000 0.1675 0.5826
Pr2 0.0000 0.5826 0.1675
Sn1 0.5000 0.3302 0.3302
Sn2 0.5000 0.5800 0.8361
Sn3 0.5000 0.8361 0.5800
Ir1 0.5000 0.2452 0.9155
Ir2 0.5000 0.9155 0.2452
Pd1 0.0000 0.5817 0.5817

Calculated values
* space group: Amm2
* magnetic moment: 0.01 μB/cell

no.,energy (Ry per atom),theoretical density (g/cm³)
1,-0.29668,6.09
2,-0.13534,3.76
3,-0.33854,7.71
4,-0.38436,11.22
5,-0.59638,9.32
6,-0.35994,8.67
7,-0.37067,5.51
8,-0.46990,8.00
9,-0.65513,7.30
10,-0.57039,16.80
11,-0.24997,4.11
12,-0.46339,10.04